1.
# Ac5Bi4N (GGA-PBE, optimized geometry)
# Theoretical density = 8.83 g/cm3
# Total magnetization = 0.00 Bohr magnetons per cell
# Formation energy without anion corrections = -853 kJ/mol of formula units
data_Ac5Bi4N
_cell_length_a 10.430
_cell_length_b 10.430
_cell_length_c 6.861
_cell_angle_alpha 90.00
_cell_angle_beta 90.00
_cell_angle_gamma 90.00
_space_group_name_H-M_alt 'I 4'
_space_group_IT_number 79
_space_group_name_Hall 'I 4'
loop_
_atom_site_label
_atom_site_fract_x
_atom_site_fract_y
_atom_site_fract_z
Ac1 0.000 0.000 0.000
Ac2 0.093 0.736 0.576
Bi1 0.087 0.694 0.082
N1 0.000 0.000 0.648

2.
# ScP2AuO (GGA-PBE, optimized geometry)
# Theoretical density = 5.30 g/cm3
# Total magnetization = 0.00 Bohr magnetons per cell
# Formation energy without anion corrections = -44 kJ/mol of formula units
data_ScP2AuO
_cell_length_a 5.143
_cell_length_b 5.143
_cell_length_c 3.793
_cell_angle_alpha 90.00
_cell_angle_beta 90.00
_cell_angle_gamma 90.00
_space_group_name_H-M_alt 'P 4/m m m'
_space_group_IT_number 123
_space_group_name_Hall '-P 4 2'
loop_
_atom_site_label
_atom_site_fract_x
_atom_site_fract_y
_atom_site_fract_z
Sc1 0.000 0.000 0.000
P1 0.000 0.500 0.000
Au1 0.500 0.500 0.500
O1 0.000 0.000 0.500

3.
# BaVNiIr2 (GGA-PBE, optimized geometry)
# Theoretical density = 8.72 g/cm3
# Calculated formation energy = 2.698 eV/atom
# Total magnetization = 0.03 Bohr magnetons per cell
data_BaVNiIr2
_cell_length_a 5.086
_cell_length_b 5.086
_cell_length_c 4.645
_cell_angle_alpha 90.00
_cell_angle_beta 90.00
_cell_angle_gamma 90.00
_space_group_name_H-M_alt 'P 4/m m m'
_space_group_IT_number 123
_space_group_name_Hall '-P 4 2'
loop_
_atom_site_label
_atom_site_fract_x
_atom_site_fract_y
_atom_site_fract_z
Ba1 0.000 0.000 0.000
V1 0.500 0.500 0.500
Ni1 0.000 0.000 0.500
Ir1 0.000 0.500 0.000

no.,DOS(E_F) (states/eV per atom)
1,0.074
2,0.754
3,2.878